1.
This record from OQMD describes a relaxed structure of CsNdPO. The functional is GGA-PBE.

a = 6.073 Å, b = 6.073 Å, c = 5.389 Å
α = 90.00°, β = 90.00°, γ = 90.00°
Space group P4/nmm (No. 129, origin choice 2)
Unique sites:
Cs 0.250 0.250 0.005 [2 per cell]
Nd 0.250 0.750 0.500 [2 per cell]
P 0.250 0.250 0.505 [2 per cell]
O 0.250 0.750 0.000 [2 per cell]

Results
As for the crystal system: tetragonal. The value obtained for the electronic total energy is -39.1 eV/cell.

2.
This record from OQMD describes a relaxed structure of Cs2PrNdO4. The functional is GGA-PBE.

a = 3.6770 Å, b = 3.6770 Å, c = 13.6473 Å
α = 90.00°, β = 90.00°, γ = 120.00°
Space group P-3m1 (No. 164)
Unique sites:
Cs 0.3333 0.6667 0.2495 [2 per cell]
Pr 0.0000 0.0000 0.5000 [1 per cell]
Nd 0.0000 0.0000 0.0000 [1 per cell]
O 0.3333 0.6667 0.5881 [2 per cell]
O 0.3333 0.6667 0.9136 [2 per cell]

Results
As for the crystal system: trigonal. The value obtained for the electronic total energy is -51.0 eV/cell.

3.
This record from OQMD describes a relaxed structure of CsNdSO. The functional is GGA-PBE.

a = 3.9169 Å, b = 3.9169 Å, c = 15.0533 Å
α = 90.00°, β = 90.00°, γ = 120.00°
Space group P-3m1 (No. 164)
Unique sites:
Cs 0.3333 0.6667 0.2210 [2 per cell]
Nd 0.0000 0.0000 0.0000 [1 per cell]
Nd 0.0000 0.0000 0.5000 [1 per cell]
S 0.3333 0.6667 0.6098 [2 per cell]
O 0.3333 0.6667 0.9271 [2 per cell]

Results
As for the crystal system: trigonal. The value obtained for the electronic total energy is -46.0 eV/cell.

4.
This record from OQMD describes a relaxed structure of CsNdSO. The functional is GGA-PBE.

a = 8.833 Å, b = 9.781 Å, c = 5.782 Å
α = 90.00°, β = 90.00°, γ = 90.00°
Space group Pca2_1 (No. 29)
Unique sites:
Cs 0.115 0.100 0.000 [4 per cell]
Nd 0.070 0.636 0.003 [4 per cell]
S 0.105 0.608 0.504 [4 per cell]
O 0.036 0.176 0.503 [4 per cell]

Results
As for the crystal system: orthorhombic. The value obtained for the electronic total energy is -90.9 eV/cell.

5.
This record from OQMD describes a relaxed structure of Cs2Nd2SO3. The functional is GGA-PBE.

a = 3.7936 Å, b = 3.7936 Å, c = 14.4915 Å
α = 90.00°, β = 90.00°, γ = 120.00°
Space group P3m1 (No. 156)
Unique sites:
Cs 0.0000 0.0000 0.0000 [1 per cell]
Cs 0.3333 0.6667 0.5296 [1 per cell]
Nd 0.6667 0.3333 0.2905 [1 per cell]
Nd 0.6667 0.3333 0.7604 [1 per cell]
S 0.3333 0.6667 0.1695 [1 per cell]
O 0.0000 0.0000 0.3621 [1 per cell]
O 0.0000 0.0000 0.6766 [1 per cell]
O 0.3333 0.6667 0.8337 [1 per cell]

Results
As for the crystal system: trigonal. The value obtained for the electronic total energy is -48.5 eV/cell.

6.
This record from OQMD describes a relaxed structure of CsNdSO. The functional is GGA-PBE.

a = 3.9137 Å, b = 3.9137 Å, c = 15.1829 Å
α = 90.00°, β = 90.00°, γ = 120.00°
Space group P6_3mc (No. 186)
Unique sites:
Cs 0.3333 0.6667 0.0000 [2 per cell]
Nd 0.0000 0.0000 0.2711 [2 per cell]
S 0.3333 0.6667 0.6571 [2 per cell]
O 0.3333 0.6667 0.3336 [2 per cell]

Results
As for the crystal system: hexagonal. The value obtained for the electronic total energy is -46.2 eV/cell.

7.
This record from OQMD describes a relaxed structure of CsNdSO. The functional is GGA-PBE.

a = 5.895 Å, b = 5.897 Å, c = 12.878 Å
α = 90.00°, β = 102.87°, γ = 90.00°
Space group P2_1 (No. 4)
Unique sites:
Cs 0.060 0.000 0.119 [2 per cell]
Cs 0.440 0.001 0.881 [2 per cell]
Nd 0.044 0.255 0.590 [2 per cell]
Nd 0.456 0.255 0.410 [2 per cell]
S 0.119 0.499 0.242 [2 per cell]
S 0.380 0.500 0.758 [2 per cell]
O 0.250 0.005 0.500 [2 per cell]
O 0.250 0.505 0.500 [2 per cell]

Results
As for the crystal system: monoclinic. The value obtained for the electronic total energy is -93.6 eV/cell.

8.
This record from OQMD describes a relaxed structure of CsNdSO. The functional is GGA-PBE.

a = 4.596 Å, b = 8.704 Å, c = 6.955 Å
α = 90.00°, β = 90.00°, γ = 90.00°
Space group Pmc2_1 (No. 26)
Unique sites:
Cs 0.000 0.189 0.000 [2 per cell]
Nd 0.500 0.375 0.441 [2 per cell]
S 0.000 0.210 0.509 [2 per cell]
O 0.500 0.420 0.128 [2 per cell]

Results
As for the crystal system: orthorhombic. The value obtained for the electronic total energy is -46.2 eV/cell.

9.
This record from OQMD describes a relaxed structure of CsNdSO. The functional is GGA-PBE.

a = 8.199 Å, b = 7.677 Å, c = 6.920 Å
α = 90.00°, β = 102.75°, γ = 90.00°
Space group P2_1/c (No. 14)
Unique sites:
Cs 0.080 0.234 0.494 [4 per cell]
Nd 0.475 0.628 0.772 [4 per cell]
S 0.267 0.591 0.359 [4 per cell]
O 0.404 0.146 0.382 [4 per cell]

Results
As for the crystal system: monoclinic. The value obtained for the electronic total energy is -93.4 eV/cell.

10.
This record from OQMD describes a relaxed structure of Cs2Nd2Se3O. The functional is GGA-PBE.

a = 4.1610 Å, b = 4.1610 Å, c = 16.2311 Å
α = 90.00°, β = 90.00°, γ = 120.00°
Space group P3m1 (No. 156)
Unique sites:
Cs 0.0000 0.0000 0.0000 [1 per cell]
Cs 0.3333 0.6667 0.5311 [1 per cell]
Nd 0.6667 0.3333 0.2680 [1 per cell]
Nd 0.6667 0.3333 0.7353 [1 per cell]
Se 0.0000 0.0000 0.3746 [1 per cell]
Se 0.3333 0.6667 0.1649 [1 per cell]
Se 0.3333 0.6667 0.8435 [1 per cell]
O 0.0000 0.0000 0.6761 [1 per cell]

Results
As for the crystal system: trigonal. The value obtained for the electronic total energy is -41.3 eV/cell.

11.
This record from OQMD describes a relaxed structure of CsNdTeO. The functional is GGA-PBE.

a = 5.048 Å, b = 9.148 Å, c = 7.345 Å
α = 90.00°, β = 90.00°, γ = 90.00°
Space group Pmc2_1 (No. 26)
Unique sites:
Cs 0.000 0.208 0.000 [2 per cell]
Nd 0.500 0.393 0.416 [2 per cell]
Te 0.000 0.210 0.504 [2 per cell]
O 0.500 0.428 0.116 [2 per cell]

Results
As for the crystal system: orthorhombic. The value obtained for the electronic total energy is -42.7 eV/cell.

12.
This record from OQMD describes a relaxed structure of CsNdTeO. The functional is GGA-PBE.

a = 9.107 Å, b = 7.905 Å, c = 7.039 Å
α = 90.00°, β = 97.09°, γ = 90.00°
Space group P2_1/c (No. 14)
Unique sites:
Cs 0.107 0.179 0.445 [4 per cell]
Nd 0.481 0.633 0.789 [4 per cell]
Te 0.246 0.593 0.389 [4 per cell]
O 0.430 0.148 0.392 [4 per cell]

Results
As for the crystal system: monoclinic. The value obtained for the electronic total energy is -87.0 eV/cell.

- Look up the electronic total energy of the second one.
  -51.0 eV/cell

Repeat the eleventh record exactly.
This record from OQMD describes a relaxed structure of CsNdTeO. The functional is GGA-PBE.

a = 5.048 Å, b = 9.148 Å, c = 7.345 Å
α = 90.00°, β = 90.00°, γ = 90.00°
Space group Pmc2_1 (No. 26)
Unique sites:
Cs 0.000 0.208 0.000 [2 per cell]
Nd 0.500 0.393 0.416 [2 per cell]
Te 0.000 0.210 0.504 [2 per cell]
O 0.500 0.428 0.116 [2 per cell]

Results
As for the crystal system: orthorhombic. The value obtained for the electronic total energy is -42.7 eV/cell.

- What is the electronic total energy in the second record?
  -51.0 eV/cell